Below is a relaxed structure of KZrGaS4, with properties calculated at the PBE level.

Cell and atoms, written as POSCAR:
```
KZrGaS4
1.0
6.199 0.000 -1.297
0.000 6.782 0.000
-4.084 0.000 9.304
K Zr Ga S
2 2 2 8
Cartesian
0.301 5.087 7.814
1.814 1.696 0.192
2.954 5.087 3.228
-0.840 1.696 4.778
-0.261 5.087 2.974
2.375 1.696 5.032
-2.209 3.384 6.290
4.323 6.775 1.716
4.323 3.399 1.716
-2.209 0.007 6.290
1.223 5.087 1.288
0.891 1.696 6.719
0.996 5.087 4.824
1.119 1.696 3.182
```

For the energy relative to the elements, uncorrected, the calculation gives -1177 meV per atom. The value obtained for the raw total energy is -74.8 eV/cell.